[1]
11
Lattice="-0.450 2.964 4.063 2.721 -2.928 5.843 6.059 3.233 1.718" Properties=species:S:1:pos:R:3 comment="K2AgF8 | Alexandria | PBE | optimized geometry" space_group="C2/m (12)" magmom_total_mub_per_cell=1.329 final_energy_ev_per_atom=-3.271 pbc="T T T"
K 5.466 3.057 8.990
K 2.864 0.212 2.634
F 4.283 -1.781 6.129
F 4.744 1.837 6.583
F 4.048 5.050 5.494
F 6.500 2.312 3.389
F 1.830 0.957 8.235
F 7.627 1.545 8.480
F 3.586 1.432 5.040
F 0.703 1.724 3.144
Ag 0.000 0.000 0.000



[2]
12
Lattice="-3.514 -1.520 4.547 -3.656 -3.383 -3.956 1.988 -6.023 -0.477" Properties=species:S:1:pos:R:3 comment="KAg2F3 | Alexandria | PBE | optimized geometry" space_group="Cmcm (63)" magmom_total_mub_per_cell=0.000 final_energy_ev_per_atom=-3.522 polymorph_energy_mev_per_atom=85 pbc="T T T"
F -1.149 -7.103 -1.319
F -0.574 -3.859 0.209
F -4.255 -3.894 -2.646
F -0.927 -7.032 2.761
F -4.608 -7.067 -0.095
F -4.033 -3.823 1.434
Ag -1.369 -7.719 -3.638
Ag -0.299 -1.687 -0.795
Ag -2.056 -2.447 1.479
Ag -3.126 -8.479 -1.364
K -2.876 -6.121 1.560
K -2.306 -4.805 -1.445



[3]
20
Lattice="-1.771 -5.756 -1.785 3.042 0.849 -5.754 7.510 -3.429 3.464" Properties=species:S:1:pos:R:3 comment="K3AgF6 | Alexandria | PBE | optimized geometry" space_group="P2_1/c (14)" magmom_total_mub_per_cell=4.000 final_energy_ev_per_atom=-3.880 pbc="T T T"
F 2.372 -4.084 -2.696
F 4.988 -2.728 -3.505
F 3.974 -2.582 -0.693
F 1.024 -0.988 -1.600
F 6.408 -4.252 -1.379
F 2.966 -5.081 -6.273
F 7.756 -7.348 -2.475
F 2.377 -1.039 -5.053
F 5.814 -3.255 2.197
F 4.807 -5.754 -3.382
F 6.403 -7.297 0.978
F 3.793 -5.608 -0.570
Ag 0.000 0.000 0.000
Ag 4.390 -4.168 -2.038
K 0.635 -2.454 -3.770
K 7.617 -4.760 -3.744
K 3.755 -1.714 1.732
K 1.163 -3.576 -0.332
K 5.212 -7.839 -1.725
K 3.568 -0.497 -2.350



[4]
10
Lattice="-1.097 -1.425 3.753 -0.642 -6.365 -2.605 5.844 2.534 2.672" Properties=species:S:1:pos:R:3 comment="KAg2F7 | Alexandria | PBE | optimized geometry" space_group="Cmmm (65)" magmom_total_mub_per_cell=0.000 final_energy_ev_per_atom=-3.368 pbc="T T T"
F -0.554 -2.764 1.095
F 2.709 -5.167 1.137
F 4.658 -2.492 2.723
F 3.709 -0.395 0.934
F 1.493 -3.435 -0.868
F 1.395 -0.089 2.682
F 2.052 -2.628 1.909
Ag 3.160 -1.108 2.811
Ag 0.944 -4.148 1.008
K 0.000 0.000 0.000



[5]
11
Lattice="4.380 0.000 0.000 0.000 4.380 0.000 -2.190 -2.190 10.895" Properties=species:S:1:pos:R:3 comment="K3Ag2F6 | Alexandria | PBE | optimized geometry" space_group="I4/mmm (139)" magmom_total_mub_per_cell=0.000 final_energy_ev_per_atom=-3.845 pbc="T T T"
K 0.000 0.000 4.048
K 2.190 2.190 6.847
K 0.000 0.000 0.000
F 2.190 0.000 9.185
F 0.000 2.190 1.710
F 2.190 2.190 4.318
F 0.000 0.000 6.577
F 2.190 0.000 1.710
F 0.000 2.190 9.185
Ag 0.000 0.000 8.952
Ag 2.190 2.190 1.943



[6]
13
Lattice="5.988 0.000 0.000 2.994 5.186 0.000 2.994 1.729 7.838" Properties=species:S:1:pos:R:3 comment="K3Ag2F8 | Alexandria | PBE | optimized geometry" space_group="R-3m (166)" magmom_total_mub_per_cell=3.036 final_energy_ev_per_atom=-3.553 pbc="T T T"
Ag 5.988 3.457 6.339
Ag 5.988 3.457 1.500
K 2.994 1.729 3.177
K 0.000 0.000 0.000
K 8.983 5.186 4.661
F 5.988 1.598 2.448
F 8.983 5.186 7.220
F 7.598 4.387 2.448
F 4.378 2.528 5.391
F 7.598 2.528 5.391
F 4.378 4.387 2.448
F 2.994 1.729 0.619
F 5.988 5.317 5.391



no.,ΔE_f (raw) (eV/f.u.)
1,-16.0
2,-8.7
3,-21.4
4,-13.8
5,-22.1
6,-22.2